No. 1
# CdInOF2, relaxed, DFT GGA-PBE
# Offset from the most stable computed form ... 0.2537 eV/atom
# Fermi-level density of states ... 0.38 states/eV/atom
data_CdInOF2
_chemical_formula_sum 'Cd1 In1 O1 F2'
_symmetry_space_group_name_H-M 'P 4/m m m'
_symmetry_Int_Tables_number 123
_symmetry_space_group_name_Hall '-P 4 2'
_cell_length_a 4.386
_cell_length_b 4.386
_cell_length_c 4.428
_cell_angle_alpha 90.00
_cell_angle_beta 90.00
_cell_angle_gamma 90.00
loop_
_atom_site_label
_atom_site_fract_x
_atom_site_fract_y
_atom_site_fract_z
Cd1 0.000 0.000 0.000
In1 0.500 0.500 0.500
O1 0.000 0.000 0.500
F1 0.000 0.500 0.000

=====

No. 2
# LiPmMgBe, relaxed, DFT GGA-PBE
# Fermi-level density of states ... 0.38 states/eV/atom
# Formation energy from the elements ... 0.04 eV per atom
data_LiPmMgBe
_chemical_formula_sum 'Li4 Pm4 Mg4 Be4'
_symmetry_space_group_name_H-M 'F -4 3 m'
_symmetry_Int_Tables_number 216
_symmetry_space_group_name_Hall 'F -4 2 3'
_cell_length_a 6.813
_cell_length_b 6.813
_cell_length_c 6.813
_cell_angle_alpha 90.00
_cell_angle_beta 90.00
_cell_angle_gamma 90.00
loop_
_atom_site_label
_atom_site_fract_x
_atom_site_fract_y
_atom_site_fract_z
Li1 0.000 0.000 0.000
Pm1 0.250 0.250 0.750
Mg1 0.250 0.250 0.250
Be1 0.000 0.000 0.500

=====

No. 3
# CuSiSe2, relaxed, DFT GGA-PBE
# Fermi-level density of states ... 0.38 states/eV/atom
# VASP energy ... -15.77 eV/f.u.
data_CuSiSe2
_chemical_formula_sum 'Cu2 Si2 Se4'
_symmetry_space_group_name_H-M 'C m m m'
_symmetry_Int_Tables_number 65
_symmetry_space_group_name_Hall '-C 2 2'
_cell_length_a 3.483
_cell_length_b 7.979
_cell_length_c 7.073
_cell_angle_alpha 90.00
_cell_angle_beta 90.00
_cell_angle_gamma 90.00
loop_
_atom_site_label
_atom_site_fract_x
_atom_site_fract_y
_atom_site_fract_z
Cu1 0.000 0.000 0.000
Si1 0.000 0.000 0.500
Se1 0.000 0.500 0.249

=====

No. 4
# Fe2SeBr, relaxed, DFT GGA-PBE
# Offset from the most stable computed form ... 0.6039 eV/atom
# Fermi-level density of states ... 1.09 states/eV/atom
data_Fe2SeBr
_chemical_formula_sum 'Fe4 Se2 Br2'
_symmetry_space_group_name_H-M 'I -4 m 2'
_symmetry_Int_Tables_number 119
_symmetry_space_group_name_Hall 'I -4 -2'
_cell_length_a 3.566
_cell_length_b 3.566
_cell_length_c 12.144
_cell_angle_alpha 90.00
_cell_angle_beta 90.00
_cell_angle_gamma 90.00
loop_
_atom_site_label
_atom_site_fract_x
_atom_site_fract_y
_atom_site_fract_z
Fe1 0.000 0.000 0.000
Fe2 0.000 0.500 0.250
Se1 0.000 0.500 0.750
Br1 0.000 0.000 0.500